1.
VASP calculation (PBE-GGA) on a geometry-optimized CoSiCl structure.

ΔE to the lowest computed polymorph	894	meV/atom
E_tot	-3.925	eV per atom
ΔE_f (raw)	2.60	eV per formula unit

```
CoSiCl
1.0
4.242 0.000 0.000
2.121 3.673 0.000
2.121 1.224 3.463
Cl Si Co
1 1 1
Direct
0.000 0.000 0.000
0.750 0.750 0.750
0.500 0.500 0.500
```


2.
VASP calculation (PBE-GGA) on a geometry-optimized SmCdSi structure.

E_tot	-4.104	eV per atom
ΔE_f (raw)	-1.25	eV per formula unit

```
SmCdSi
1.0
4.181 0.000 0.000
0.000 4.398 0.000
0.000 -2.199 3.808
Si Sm Cd
1 1 1
Direct
0.165 0.000 0.000
0.667 0.333 0.667
0.168 0.667 0.333
```


3.
VASP calculation (PBE-GGA) on a geometry-optimized Ba8Ag3PI4 structure.

E_tot	-3.135	eV per atom
ΔE_f (raw)	-14.62	eV per formula unit

```
Ba8Ag3PI4
1.0
-4.467 -8.310 1.899
7.084 -2.154 7.236
-4.784 8.317 0.755
Ba I P Ag
8 4 1 3
Direct
0.261 0.283 0.522
0.230 0.708 0.979
0.770 0.292 0.021
0.770 0.292 0.541
0.749 0.708 0.979
0.230 0.708 0.459
0.251 0.292 0.021
0.739 0.717 0.478
0.500 0.000 0.500
0.500 0.000 0.000
0.000 0.000 0.500
0.000 0.000 0.000
0.000 0.500 0.000
0.500 0.500 0.000
0.500 0.500 0.500
0.000 0.500 0.500
```


4.
VASP calculation (PBE-GGA) on a geometry-optimized CsAs2Pb2S6 structure.

E_tot	-4.258	eV per atom
ΔE_f (raw)	-4.51	eV per formula unit

```
CsAs2Pb2S6
1.0
-4.270 2.350 -3.545
-8.954 -1.957 5.034
1.705 5.417 2.020
S Cs Pb As
6 1 2 2
Direct
0.794 0.464 0.206
0.085 0.783 0.480
0.481 0.217 0.084
0.915 0.217 0.520
0.206 0.536 0.794
0.519 0.783 0.916
0.500 0.000 0.500
0.746 0.500 0.746
0.254 0.500 0.254
0.841 0.229 0.160
0.159 0.771 0.840
```


5.
VASP calculation (PBE-GGA) on a geometry-optimized Pm6Cd2Os structure.

energy of formation from the pure elements	0.02	eV per atom
ΔE to the lowest computed polymorph	120	meV/atom
E_tot	-4.597	eV per atom

```
Pm6Cd2Os
1.0
-0.191 -5.031 1.963
6.198 -1.593 -3.479
0.886 5.480 6.695
Cd Pm Os
2 6 1
Direct
0.666 0.667 0.333
0.334 0.333 0.667
0.849 0.603 0.697
0.849 0.093 0.697
0.500 0.223 0.000
0.151 0.907 0.303
0.500 0.777 0.000
0.151 0.397 0.303
0.000 0.000 0.000
```


6.
VASP calculation (PBE-GGA) on a geometry-optimized La4SiHgI2 structure.

E_tot	-4.421	eV per atom
ΔE_f (raw)	-6.83	eV per formula unit

```
La4SiHgI2
1.0
-2.666 2.808 2.167
-6.401 -3.687 -3.097
1.817 -3.585 6.881
La I Hg Si
4 2 1 1
Direct
0.500 0.777 0.788
0.000 0.247 0.778
0.500 0.223 0.212
0.000 0.753 0.222
0.000 0.500 0.500
0.500 0.000 0.500
0.500 0.500 0.000
0.000 0.000 0.000
```


7.
VASP calculation (PBE-GGA) on a geometry-optimized Li2GeBiO4 structure.

E_tot	-5.556	eV per atom
ΔE_f (raw)	-12.29	eV per formula unit

```
Li2GeBiO4
1.0
5.290 0.247 0.000
-0.193 5.292 0.000
-2.549 -2.770 3.697
O Bi Ge Li
4 1 1 2
Direct
0.524 0.524 0.679
0.443 0.833 0.276
0.833 0.443 0.276
0.155 0.155 0.679
0.045 0.045 0.090
0.496 0.496 0.992
0.252 0.752 0.505
0.752 0.252 0.505
```


8.
VASP calculation (PBE-GGA) on a geometry-optimized LiGa2Te3 structure.

E_tot	-3.317	eV per atom
ΔE_f (raw)	-2.51	eV per formula unit

```
LiGa2Te3
1.0
-3.443 -1.998 1.162
3.632 -2.108 7.135
-3.282 10.781 1.414
Ga Te Li
4 6 2
Direct
0.944 0.814 0.888
0.056 0.186 0.112
0.727 0.382 0.454
0.273 0.618 0.546
0.603 0.386 0.206
0.067 0.877 0.135
0.933 0.123 0.865
0.242 0.165 0.484
0.758 0.835 0.516
0.397 0.614 0.794
0.651 0.950 0.303
0.349 0.050 0.697
```


9.
VASP calculation (PBE-GGA) on a geometry-optimized Sb2OsICl structure.

ΔE to the lowest computed polymorph	0	meV/atom
E_tot	-4.116	eV per atom
ΔE_f (raw)	2.29	eV per formula unit

```
Sb2OsICl
1.0
5.107 0.000 0.000
0.000 5.107 0.000
0.000 0.000 5.655
Os Cl Sb I
1 1 2 1
Direct
0.000 0.000 0.000
0.500 0.500 0.500
0.000 0.500 0.000
0.500 0.000 0.000
0.000 0.000 0.500
```


10.
VASP calculation (PBE-GGA) on a geometry-optimized CaMn2Cu structure.

energy of formation from the pure elements	0.41	eV per atom
E_tot	-5.700	eV per atom

```
CaMn2Cu
1.0
-4.348 3.606 -0.624
-4.019 2.234 -3.340
-4.367 -1.972 0.466
Mn Cu Ca
2 1 1
Direct
0.537 0.537 0.463
0.963 0.963 0.037
0.250 0.250 0.250
0.750 0.750 0.750
```


11.
VASP calculation (PBE-GGA) on a geometry-optimized La2SiS structure.

ΔE to the lowest computed polymorph	53	meV/atom
E_tot	-6.238	eV per atom
ΔE_f (raw)	-5.55	eV per formula unit

```
La2SiS
1.0
-1.975 -3.812 0.203
1.503 -3.322 -2.275
3.943 -4.215 4.699
S La Si
1 2 1
Direct
0.500 0.500 0.500
0.250 0.250 0.250
0.750 0.750 0.750
0.000 0.000 0.000
```


12.
VASP calculation (PBE-GGA) on a geometry-optimized Au2BrCl structure.

ΔE to the lowest computed polymorph	288	meV/atom
E_tot	-2.332	eV per atom
ΔE_f (raw)	0.74	eV per formula unit

```
Au2BrCl
1.0
4.027 0.042 0.000
-2.316 3.295 0.000
0.000 0.000 7.690
Au Cl Br
2 1 1
Direct
0.000 0.000 0.505
0.000 0.000 0.995
0.500 0.500 0.750
0.500 0.500 0.250
```


13.
VASP calculation (PBE-GGA) on a geometry-optimized Tc3PdBr structure.

ΔE to the lowest computed polymorph	459	meV/atom
E_tot	-5.526	eV per atom
ΔE_f (raw)	10.34	eV per formula unit

```
Tc3PdBr
1.0
-4.204 -2.395 1.340
2.467 -4.371 -0.073
1.201 0.598 4.838
Pd Br Tc
1 1 3
Direct
0.000 0.000 0.000
0.500 0.500 0.500
0.500 0.000 0.000
0.000 0.000 0.500
0.000 0.500 0.000
```


14.
VASP calculation (PBE-GGA) on a geometry-optimized Rb2CaP2Se6 structure.

E_tot	-3.997	eV per atom
ΔE_f (raw)	-8.31	eV per formula unit

```
Rb2CaP2Se6
1.0
-4.410 5.873 -0.282
-6.839 -0.662 -2.610
-6.243 0.196 5.959
Se P Ca Rb
6 2 1 2
Direct
0.742 0.235 0.281
0.258 0.258 0.719
0.765 0.258 0.719
0.258 0.765 0.719
0.742 0.742 0.281
0.235 0.742 0.281
0.553 0.553 0.342
0.447 0.447 0.658
0.000 0.000 0.000
0.771 0.771 0.688
0.229 0.229 0.312
```


15.
VASP calculation (PBE-GGA) on a geometry-optimized AlGeAu structure.

energy of formation from the pure elements	-0.10	eV per atom
E_tot	-3.978	eV per atom

```
AlGeAu
1.0
-0.790 4.378 -0.603
-0.781 -1.044 -6.563
-7.280 -1.169 1.052
Ge Al Au
4 4 4
Direct
0.750 0.162 0.556
0.250 0.838 0.444
0.250 0.662 0.944
0.750 0.338 0.056
0.750 0.944 0.256
0.250 0.056 0.744
0.250 0.444 0.244
0.750 0.556 0.756
0.250 0.422 0.617
0.750 0.922 0.883
0.250 0.078 0.117
0.750 0.578 0.383
```


16.
VASP calculation (PBE-GGA) on a geometry-optimized Ba2LiB5O10 structure.

E_tot	-7.572	eV per atom
ΔE_f (raw)	-47.57	eV per formula unit

```
Ba2LiB5O10
1.0
-3.413 -14.408 1.403
4.165 -1.101 -1.176
3.380 -0.229 5.868
O Ba B Li
20 4 10 2
Direct
0.250 0.377 0.588
0.411 0.275 0.606
0.911 0.725 0.394
0.669 0.668 0.093
0.354 0.776 0.609
0.854 0.224 0.391
0.331 0.332 0.907
0.589 0.725 0.394
0.169 0.332 0.907
0.831 0.668 0.093
0.146 0.776 0.609
0.486 0.830 0.809
0.750 0.961 0.806
0.089 0.275 0.606
0.986 0.170 0.191
0.646 0.224 0.391
0.750 0.623 0.412
0.014 0.830 0.809
0.250 0.039 0.194
0.514 0.170 0.191
0.087 0.666 0.198
0.413 0.666 0.198
0.913 0.334 0.802
0.587 0.334 0.802
0.581 0.050 0.320
0.835 0.562 0.320
0.081 0.950 0.680
0.165 0.438 0.680
0.750 0.772 0.995
0.335 0.438 0.680
0.250 0.228 0.005
0.665 0.562 0.320
0.419 0.950 0.680
0.919 0.050 0.320
0.250 0.009 0.479
0.750 0.991 0.521
```


17.
VASP calculation (PBE-GGA) on a geometry-optimized Cr2Rh3 structure.

energy of formation from the pure elements	-0.03	eV per atom
ΔE to the lowest computed polymorph	52	meV/atom
E_tot	-8.289	eV per atom

```
Cr2Rh3
1.0
2.657 0.000 -0.438
0.000 11.319 0.000
-1.227 0.000 9.122
Rh Cr
12 8
Direct
0.075 0.866 0.076
0.361 0.954 0.362
0.639 0.454 0.138
0.361 0.546 0.862
0.193 0.244 0.193
0.807 0.756 0.807
0.639 0.046 0.638
0.807 0.744 0.307
0.925 0.134 0.924
0.925 0.366 0.424
0.075 0.634 0.576
0.193 0.256 0.693
0.095 0.643 0.094
0.905 0.143 0.406
0.350 0.556 0.350
0.095 0.857 0.594
0.650 0.444 0.650
0.905 0.357 0.906
0.350 0.944 0.850
0.650 0.056 0.150
```


18.
VASP calculation (PBE-GGA) on a geometry-optimized HgMoIN2 structure.

ΔE to the lowest computed polymorph	1972	meV/atom
E_tot	-3.214	eV per atom
ΔE_f (raw)	13.26	eV per formula unit

```
HgMoIN2
1.0
-3.052 2.289 1.511
-2.686 -2.953 -0.951
0.833 -2.536 5.524
Hg Mo I N
1 1 1 2
Direct
0.000 0.000 0.000
0.500 0.500 0.500
0.000 0.000 0.500
0.000 0.500 0.000
0.500 0.000 0.000
```


19.
VASP calculation (PBE-GGA) on a geometry-optimized Tb3NdTl4Se8 structure.

E_tot	-4.886	eV per atom
ΔE_f (raw)	-22.17	eV per formula unit

```
Tb3NdTl4Se8
1.0
-0.918 -1.692 8.249
-8.498 -3.094 -1.581
6.330 -3.546 -4.372
Se Tl Tb Nd
8 4 3 1
Direct
0.761 0.293 0.032
0.761 0.293 0.522
0.265 0.296 0.530
0.729 0.707 0.968
0.271 0.293 0.032
0.239 0.707 0.968
0.239 0.707 0.478
0.735 0.704 0.470
0.000 0.000 0.500
0.500 0.000 0.000
0.000 0.000 0.000
0.500 0.000 0.500
0.500 0.500 0.500
0.000 0.500 0.500
0.500 0.500 0.000
0.000 0.500 0.000
```


20.
VASP calculation (PBE-GGA) on a geometry-optimized Tl2FeI6 structure.

E_tot	-2.785	eV per atom
ΔE_f (raw)	-2.57	eV per formula unit

```
Tl2FeI6
1.0
8.065 0.595 1.074
-0.190 7.333 -2.631
2.642 -1.611 6.859
Tl I Fe
2 6 1
Direct
0.241 0.273 0.546
0.759 0.727 0.454
0.310 0.750 0.501
0.816 0.193 0.905
0.184 0.288 0.095
0.184 0.807 0.095
0.816 0.712 0.905
0.690 0.250 0.499
0.000 0.000 0.000
```